No. 1
DFT (PBE) results for an optimized crystal structure of EuLuAlAu.

a b c (Å): 5.162 5.162 5.162
angles (deg): 60.00 60.00 60.00
Last column: magnetic moment on the atom in μB.
Sites, in units of the cell vectors:
Au 0.000 0.000 0.000  -0.01
Lu 0.750 0.750 0.750  -0.02
Al 0.500 0.500 0.500  -0.01
Eu 0.250 0.250 0.250  6.75

Computed properties:
Size of the total moment in μB per cell: 6.85
Symmetry: F-43m
Density in g/cm³: 9.41
DOS at the Fermi energy in states/eV per cell: 7.49
Calculated formation energy in kJ/mol of formula units: -187

***

No. 2
DFT (PBE) results for an optimized crystal structure of Ti2VSiH.

a b c (Å): 4.093 4.093 3.549
angles (deg): 90.00 90.00 90.00
Sites, in units of the cell vectors:
H 0.000 0.000 0.000
Ti 0.500 0.000 0.000
Ti 0.000 0.500 0.000
Si 0.500 0.500 0.500
V 0.000 0.000 0.500

Computed properties:
Size of the total moment in μB per cell: 0.00
Energy in eV/cell: -36.00
Symmetry: P4/mmm
Density in g/cm³: 4.91
DOS at the Fermi energy in states/eV per cell: 2.06

***

No. 3
DFT (PBE) results for an optimized crystal structure of RbBaW3.

a b c (Å): 5.015 5.015 5.015
angles (deg): 90.00 90.00 90.00
Sites, in units of the cell vectors:
W 0.000 0.500 0.000
W 0.000 0.000 0.500
W 0.500 0.000 0.000
Rb 0.000 0.000 0.000
Ba 0.500 0.500 0.500

Computed properties:
Size of the total moment in μB per cell: 0.00
Excess energy over the best structure of this formula in the dataset in meV/atom: 0
Symmetry: Pm-3m
Density in g/cm³: 10.19
DOS at the Fermi energy in states/eV per cell: 9.09
Calculated formation energy in kJ/mol of formula units: 1776